Entry 1:
VASP calculation (PBE) on a geometry-optimized Ac2ErS2O2 structure.

Cell: 4.355 4.355 15.563 Å, 90.00 90.00 90.00°
Space group I4/mmm (No. 139)
Symmetry-distinct sites (fractional):
Ac: 0.000 0.000 0.133 [4 per cell]
Er: 0.000 0.000 0.500 [2 per cell]
S: 0.000 0.000 0.326 [4 per cell]
O: 0.000 0.500 0.000 [4 per cell]

Output
The uncorrected formation energy is -2.633 eV/atom. The value obtained for the calculated density is 8.07 Mg/m³. The density of states at the Fermi level comes out at 4.44 states/eV/cell.

Entry 2:
VASP calculation (PBE) on a geometry-optimized Li2Cr2Ge structure.

Cell: 7.060 7.060 2.792 Å, 90.00 90.00 90.00°
Space group P4/mbm (No. 127)
Symmetry-distinct sites (fractional):
Li: 0.196 0.304 0.000 [4 per cell]
Cr: 0.094 0.594 0.500 [4 per cell]
Ge: 0.000 0.000 0.000 [2 per cell]

Output
Its formation enthalpy at 0 K is 0.555 eV/atom. The value obtained for the calculated density is 4.55 Mg/m³. The density of states at the Fermi level comes out at 4.00 states/eV/cell.

Entry 3:
VASP calculation (PBE) on a geometry-optimized HfZr4Pd structure.

Cell: 7.922 12.753 5.585 Å, 90.00 110.74 90.00°
Space group C2/c (No. 15)
Symmetry-distinct sites (fractional):
Hf: 0.000 0.107 0.250 [4 per cell]
Zr: 0.107 0.310 0.563 [8 per cell]
Zr: 0.209 0.097 0.860 [8 per cell]
Pd: 0.000 0.495 0.250 [4 per cell]

Output
Its formation enthalpy at 0 K is -0.126 eV/atom. The value obtained for the calculated density is 8.18 Mg/m³. The density of states at the Fermi level comes out at 23.14 states/eV/cell.

Entry 4:
VASP calculation (PBE) on a geometry-optimized Zr2MoPt structure.

Cell: 2.872 5.129 10.680 Å, 90.00 90.00 90.00°
Space group Immm (No. 71)
Symmetry-distinct sites (fractional):
Zr: 0.000 0.000 0.246 [4 per cell]
Mo: 0.000 0.000 0.500 [2 per cell]
Pt: 0.000 0.000 0.000 [2 per cell]

Output
Its formation enthalpy at 0 K is 0.305 eV/atom. The value obtained for the calculated density is 9.99 Mg/m³. The density of states at the Fermi level comes out at 7.42 states/eV/cell.